{"formula": "Mg3SbF", "functional": "PBE-GGA", "state": "optimized geometry", "volume_a3_per_cell": 99.8, "m_tot_mub_per_fu": 0.0, "de_polymorph_ev_per_atom": 0.000, "raw_formation_energy_ev_per_atom": -0.86, "lattice_angstrom": [[4.638, 0.000, 0.000], [0.000, 4.638, 0.000], [0.000, 0.000, 4.638]], "species": ["Sb", "Mg", "Mg", "Mg", "F"], "frac_coords": [[0.500, 0.500, 0.500], [0.000, 0.500, 0.000], [0.000, 0.000, 0.500], [0.500, 0.000, 0.000], [0.000, 0.000, 0.000]]}